# Pm2Mg12Hg7 (PBE, optimized geometry)
# - crystal system = trigonal
data_Pm2Mg12Hg7
_cell_length_a 11.5146
_cell_length_b 11.5146
_cell_length_c 4.3088
_cell_angle_alpha 90.00
_cell_angle_beta 90.00
_cell_angle_gamma 120.00
_space_group_name_H-M_alt 'P -3'
_space_group_IT_number 147
loop_
_space_group_symop_operation_xyz
'x,y,z'
'-x,-y,-z'
'-y,x-y,z'
'y,-x+y,-z'
'-x+y,-x,z'
'x-y,x,-z'
loop_
_atom_site_label
_atom_site_type_symbol
_atom_site_fract_x
_atom_site_fract_y
_atom_site_fract_z
_atom_site_occupancy
Pm1 Pm 0.3333 0.6667 0.2486 1
Mg1 Mg 0.0440 0.6128 0.7504 1
Mg2 Mg 0.1083 0.8427 0.2549 1
Hg1 Hg 0.0000 0.0000 0.0000 1
Hg2 Hg 0.1386 0.4269 0.7498 1


# KAgCl2F (PBE, optimized geometry)
# - crystal system = tetragonal
# - formation energy without anion corrections (eV per atom) = -1.290
data_KAgCl2F
_cell_length_a 5.136
_cell_length_b 5.136
_cell_length_c 4.403
_cell_angle_alpha 90.00
_cell_angle_beta 90.00
_cell_angle_gamma 90.00
_space_group_name_H-M_alt 'P 4/m m m'
_space_group_IT_number 123
_space_group_name_Hall '-P 4 2'
loop_
_atom_site_label
_atom_site_type_symbol
_atom_site_fract_x
_atom_site_fract_y
_atom_site_fract_z
_atom_site_occupancy
K1 K 0.000 0.000 0.000 1
Ag1 Ag 0.500 0.500 0.500 1
Cl1 Cl 0.000 0.500 0.500 1
F1 F 0.500 0.500 0.000 1


# Tb3Er5Pb2 (PBE, optimized geometry)
# - crystal system = orthorhombic
data_Tb3Er5Pb2
_cell_length_a 12.698
_cell_length_b 15.752
_cell_length_c 6.333
_cell_angle_alpha 90.00
_cell_angle_beta 90.00
_cell_angle_gamma 90.00
_space_group_name_H-M_alt 'I b a m'
_space_group_IT_number 72
_space_group_name_Hall '-I 2 2c'
loop_
_atom_site_label
_atom_site_type_symbol
_atom_site_fract_x
_atom_site_fract_y
_atom_site_fract_z
_atom_site_occupancy
Tb1 Tb 0.000 0.000 0.250 1
Tb2 Tb 0.121 0.217 0.000 1
Er1 Er 0.000 0.500 0.250 1
Er2 Er 0.103 0.336 0.500 1
Er3 Er 0.248 0.500 0.250 1
Pb1 Pb 0.143 0.149 0.500 1


# Nd5Y12Er (PBE, optimized geometry)
# - crystal system = orthorhombic
data_Nd5Y12Er
_cell_length_a 15.248
_cell_length_b 15.280
_cell_length_c 5.092
_cell_angle_alpha 90.00
_cell_angle_beta 90.00
_cell_angle_gamma 90.00
_space_group_name_H-M_alt 'C m m m'
_space_group_IT_number 65
_space_group_name_Hall '-C 2 2'
loop_
_atom_site_label
_atom_site_type_symbol
_atom_site_fract_x
_atom_site_fract_y
_atom_site_fract_z
_atom_site_occupancy
Nd1 Nd 0.000 0.000 0.000 1
Nd2 Nd 0.000 0.167 0.500 1
Nd3 Nd 0.000 0.335 0.000 1
Y1 Y 0.166 0.500 0.000 1
Y2 Y 0.167 0.334 0.500 1
Y3 Y 0.168 0.000 0.500 1
Y4 Y 0.168 0.167 0.000 1
Er1 Er 0.000 0.500 0.500 1


Number 1: VASP energy -1.7290 eV per atom. Number 2: VASP energy -3.1926 eV per atom. Number 3: VASP energy -4.3614 eV per atom. Number 4: VASP energy -5.8659 eV per atom.